Model i:
# YAsI2O

A relaxed structure of YAsI2O (PBE, the Alexandria database).

Calculated values
- Volume: 27.29 Å³ per atom
- Magnetization: 0.00 μB per cell

```
YAsI2O
1.0
-0.838 1.621 -5.693
3.353 -4.608 -1.806
-3.114 -2.200 -0.168
I Y As O
2 1 1 1
Direct
0.000 0.500 0.000 I
0.500 0.000 0.000 I
0.500 0.500 0.500 Y
0.000 0.000 0.000 As
0.000 0.000 0.500 O
```

Model ii:
# YAsI2O

A relaxed structure of YAsI2O (PBE, the Alexandria database).

Calculated values
- Volume: 32.31 Å³ per atom
- Magnetization: 2.09 μB per cell

```
YAsI2O
1.0
-4.175 -3.728 2.733
-0.089 -3.616 -5.070
3.090 -2.298 1.585
I Y As O
2 1 1 1
Direct
0.000 0.500 0.000 I
0.500 0.000 0.000 I
0.000 0.000 0.000 Y
0.500 0.500 0.500 As
0.000 0.000 0.500 O
```

It is model ii that is most stable; the runner-up trails by 0.380 eV/atom.

Model i:
# ZnAsIO2

A relaxed structure of ZnAsIO2 (PBE, the Alexandria database).

Calculated values
- Volume: 18.80 Å³ per atom
- Magnetization: 0.00 μB per cell

```
ZnAsIO2
1.0
3.955 0.000 0.000
0.000 3.955 0.000
0.000 0.000 6.009
I As Zn O
1 1 1 2
Direct
0.000 0.000 0.500 I
0.500 0.500 0.500 As
0.000 0.000 0.000 Zn
0.000 0.500 0.000 O
0.500 0.000 0.000 O
```

Model ii:
# ZnAsIO2

A relaxed structure of ZnAsIO2 (PBE, the Alexandria database).

Calculated values
- Volume: 20.30 Å³ per atom
- Magnetization: 0.00 μB per cell

```
ZnAsIO2
1.0
3.863 0.000 0.000
0.000 3.863 0.000
0.000 0.000 6.801
I As Zn O
1 1 1 2
Direct
0.000 0.000 0.500 I
0.000 0.000 0.000 As
0.500 0.500 0.500 Zn
0.000 0.500 0.000 O
0.500 0.000 0.000 O
```

It is model ii that is most stable; the runner-up trails by 0.528 eV/atom.